Model i:
Material: LaZr2Fe
Method: DFT, PBE
State: relaxed

extended XYZ file:
```
4
Lattice="3.4046 0.0000 0.0000 0.0000 5.1726 0.0000 0.0000 0.0000 5.0669" Properties=species:S:1:pos:R:3 pbc="T T T"
Fe 1.7023 0.0000 2.5334
La 0.0000 2.5863 2.5334
Zr 0.0000 0.0000 0.0000
Zr 1.7023 2.5863 0.0000
```

Symmetry: Pmmm, No. 47
D(E_F) in states/eV/f.u.: 7.61
Total moment in μB per formula unit: 1.42


Model ii:
Material: LaZr2Fe
Method: DFT, PBE
State: relaxed

extended XYZ file:
```
4
Lattice="0.0000 3.4715 3.4715 3.4715 0.0000 3.4715 3.4715 3.4715 0.0000" Properties=species:S:1:pos:R:3 pbc="T T T"
Fe 0.0000 0.0000 0.0000
Zr 1.7357 1.7357 1.7357
Zr 5.2072 5.2072 5.2072
La 3.4715 3.4715 3.4715
```

Symmetry: Fm-3m, No. 225
D(E_F) in states/eV/f.u.: 4.89
Total moment in μB per formula unit: 0.74


Which is most stable, and by how much? model ii, by 15 meV/atom.


Model i:
Material: LaZr2Fe
Method: DFT, PBE
State: relaxed

extended XYZ file:
```
4
Lattice="5.7118 -0.3006 0.0000 2.7617 5.0087 0.0000 -4.2367 -2.3541 3.0369" Properties=species:S:1:pos:R:3 pbc="T T T"
Fe 1.3809 2.5044 1.5185
La 2.8559 -0.1503 1.5185
Zr 0.0000 0.0000 0.0000
Zr 4.2367 2.3541 0.0000
```

Symmetry: I4/mmm, No. 139
D(E_F) in states/eV/f.u.: 5.94
Total moment in μB per formula unit: 2.27


Model ii:
Material: LaZr2Fe
Method: DFT, PBE
State: relaxed

extended XYZ file:
```
4
Lattice="4.3854 0.4256 0.0000 -0.4301 4.3850 0.0000 0.0000 0.0000 4.6979" Properties=species:S:1:pos:R:3 pbc="T T T"
Fe 2.1927 0.2128 2.3490
La -0.2150 2.1925 2.3490
Zr 0.0000 0.0000 0.0000
Zr 1.9777 2.4053 0.0000
```

Symmetry: P4/mmm, No. 123
D(E_F) in states/eV/f.u.: 6.41
Total moment in μB per formula unit: 2.77


Model iii:
Material: LaZr2Fe
Method: DFT, PBE
State: relaxed

extended XYZ file:
```
4
Lattice="-1.1721 -7.7067 3.0226 -0.5807 -8.3154 -0.6475 2.3444 -7.8477 1.6794" Properties=species:S:1:pos:R:3 pbc="T T T"
Fe 0.1479 -5.9674 1.0136
La 0.4437 -17.9023 3.0409
Zr 0.5733 -23.1283 3.9286
Zr 0.3142 -12.6763 2.1532
```

Symmetry: R-3m, No. 166
D(E_F) in states/eV/f.u.: 3.82
Total moment in μB per formula unit: 0.00


Model iv:
Material: LaZr2Fe
Method: DFT, PBE
State: relaxed

extended XYZ file:
```
4
Lattice="3.2748 0.0171 0.0000 -0.0170 3.2748 0.0000 0.0000 0.0000 8.3115" Properties=species:S:1:pos:R:3 pbc="T T T"
Fe 1.6289 1.6459 2.0779
La 1.6289 1.6459 6.2337
Zr 0.0000 0.0000 0.5719
Zr 0.0000 0.0000 3.5839
```

Symmetry: P4/mmm, No. 123
D(E_F) in states/eV/f.u.: 5.50
Total moment in μB per formula unit: 0.47


Which is most stable, and by how much? model iv, by 133 meV/atom.


Model i:
Material: LaZrFe
Method: DFT, PBE
State: relaxed

extended XYZ file:
```
3
Lattice="-0.6573 -0.8759 -4.4919 -1.4375 -4.1805 -1.3539 -4.2857 -0.5502 -1.6450" Properties=species:S:1:pos:R:3 pbc="T T T"
Fe -3.1902 -2.8033 -3.7454
La -4.7853 -4.2050 -5.6181
Zr 0.0000 0.0000 0.0000
```

Symmetry: F-43m, No. 216
D(E_F) in states/eV/f.u.: 5.56
Total moment in μB per formula unit: 1.27


Model ii:
Material: LaZrFe
Method: DFT, PBE
State: relaxed

extended XYZ file:
```
3
Lattice="4.1485 0.0000 0.0000 -2.0743 3.5927 0.0000 0.0000 0.0000 4.8062" Properties=species:S:1:pos:R:3 pbc="T T T"
Fe 0.0000 0.0000 4.4859
La 0.0000 2.3951 1.3559
Zr 2.0743 1.1976 3.7707
```

Symmetry: P3m1, No. 156
D(E_F) in states/eV/f.u.: 2.78
Total moment in μB per formula unit: 0.00


Which is most stable, and by how much? model ii, by 858 meV/atom.


Model i:
Material: LaZrFe
Method: DFT, PBE
State: relaxed

extended XYZ file:
```
3
Lattice="4.6269 0.0000 0.0000 2.3135 4.0070 0.0000 2.3135 1.3357 3.7778" Properties=species:S:1:pos:R:3 pbc="T T T"
Fe 6.9404 4.0070 2.8334
La 0.0000 0.0000 0.0000
Zr 4.6269 2.6713 1.8889
```

Symmetry: F-43m, No. 216
D(E_F) in states/eV/f.u.: 1.96
Total moment in μB per formula unit: 0.00


Model ii:
Material: LaZrFe
Method: DFT, PBE
State: relaxed

extended XYZ file:
```
3
Lattice="6.6847 0.0170 -0.0161 5.0299 4.4030 0.0160 -5.8518 -2.2247 2.3440" Properties=species:S:1:pos:R:3 pbc="T T T"
Fe -5.6095 -2.1332 2.3440
La 4.1960 1.5832 0.0000
Zr 7.2763 2.7454 -0.0001
```

Symmetry: I4mm, No. 107
D(E_F) in states/eV/f.u.: 3.83
Total moment in μB per formula unit: 0.81


Which is most stable, and by how much? model ii, by 160 meV/atom.


Model i:
Material: LaZr3Fe
Method: DFT, PBE
State: relaxed

extended XYZ file:
```
5
Lattice="4.9773 0.0000 0.0000 0.0000 4.9773 0.0000 0.0000 0.0000 4.9773" Properties=species:S:1:pos:R:3 pbc="T T T"
Fe 0.0000 0.0000 0.0000
Zr 0.0000 2.4887 0.0000
Zr 0.0000 0.0000 2.4887
Zr 2.4887 0.0000 0.0000
La 2.4887 2.4887 2.4887
```

Symmetry: Pm-3m, No. 221
D(E_F) in states/eV/f.u.: 7.87
Total moment in μB per formula unit: 0.00


Model ii:
Material: LaZr3Fe
Method: DFT, PBE
State: relaxed

extended XYZ file:
```
5
Lattice="-0.9385 -4.2272 2.7023 -2.6825 -1.9005 -3.9045 4.2398 -2.1381 -1.8722" Properties=species:S:1:pos:R:3 pbc="T T T"
Fe 0.3094 -4.1329 -1.5372
Zr -1.3412 -0.9502 -1.9522
Zr 2.1199 -1.0690 -0.9361
Zr -0.4692 -2.1136 1.3511
La 0.0000 0.0000 0.0000
```

Symmetry: Pm-3m, No. 221
D(E_F) in states/eV/f.u.: 9.88
Total moment in μB per formula unit: 3.04


Which is most stable, and by how much? model i, by 1493 meV/atom.


Model i:
Material: LiFe5
Method: DFT, PBE
State: relaxed

extended XYZ file:
```
6
Lattice="1.7156 -3.5209 2.5804 1.2463 0.7510 4.4588 -2.5580 -1.8146 3.4874" Properties=species:S:1:pos:R:3 pbc="T T T"
Li 0.0000 0.0000 0.0000
Fe 0.1010 -1.1461 2.6317
Fe 0.2525 -2.8665 6.5820
Fe 1.5343 -1.9573 4.8345
Fe -0.6071 -1.1023 5.2890
Fe -0.3720 -3.2428 4.3478
```

Symmetry: F-43m, No. 216
D(E_F) in states/eV/f.u.: 9.23
Total moment in μB per formula unit: 10.27


Model ii:
Material: LiFe5
Method: DFT, PBE
State: relaxed

extended XYZ file:
```
6
Lattice="2.8112 0.0000 0.0000 0.0000 4.0462 0.0000 0.0000 -2.0231 6.0665" Properties=species:S:1:pos:R:3 pbc="T T T"
Fe 0.0000 2.0231 1.9963
Fe 0.0000 0.0000 4.0702
Fe 1.4056 2.0231 0.0000
Fe 1.4056 0.0000 2.0569
Fe 1.4056 2.0231 4.0096
Li 0.0000 0.0000 0.0000
```

Symmetry: Cmmm, No. 65
D(E_F) in states/eV/f.u.: 4.59
Total moment in μB per formula unit: 11.36


Model iii:
Material: LiFe5
Method: DFT, PBE
State: relaxed

extended XYZ file:
```
6
Lattice="1.2140 -6.6923 0.0000 1.2140 6.6923 0.0000 0.0000 0.0000 4.0394" Properties=species:S:1:pos:R:3 pbc="T T T"
Li 1.2140 5.2419 2.0197
Fe 1.2140 6.6634 0.0000
Fe 1.2140 2.1881 0.0000
Fe 1.2140 -2.2878 0.0000
Fe 1.2140 0.8371 2.0197
Fe 1.2140 -3.7197 2.0197
```

Symmetry: Amm2, No. 38
D(E_F) in states/eV/f.u.: 5.48
Total moment in μB per formula unit: 1.81


Which is most stable, and by how much? model ii, by 54 meV/atom.